*w*
A relaxed KFeOs crystal, computed with GGA-PBE.

Computed properties:
magnetization = 0.82 μB per atom

a b c (Å): 2.7956 2.7956 7.8585
angles (deg): 90.00 90.00 120.00
Space group P3m1 (No. 156)
Inequivalent atoms, fractional coordinates:
K 0.0000 0.0000 0.0000 (multiplicity 1)
Fe 0.3333 0.6667 0.6204 (multiplicity 1)
Os 0.6667 0.3333 0.3722 (multiplicity 1)

=====

*x*
A relaxed KFeOs crystal, computed with GGA-PBE.

Computed properties:
magnetization = 0.04 μB per atom

a b c (Å): 6.108 6.108 6.108
angles (deg): 90.00 90.00 90.00
Space group F-43m (No. 216)
Inequivalent atoms, fractional coordinates:
K 0.000 0.000 0.000 (multiplicity 4)
Fe 0.250 0.250 0.750 (multiplicity 4)
Os 0.000 0.000 0.500 (multiplicity 4)

=====

Question: which arrangement is favored energetically? Ranking from most to least stable: *w*, *x*.

=====

*w*
A relaxed KFeOs crystal, computed with GGA-PBE.

Computed properties:
magnetization = 0.47 μB per atom

a b c (Å): 2.935 2.935 13.792
angles (deg): 90.00 90.00 90.00
Space group I4mm (No. 107)
Inequivalent atoms, fractional coordinates:
K 0.000 0.000 0.000 (multiplicity 2)
Fe 0.000 0.000 0.708 (multiplicity 2)
Os 0.000 0.000 0.295 (multiplicity 2)

=====

*x*
A relaxed KFeOs crystal, computed with GGA-PBE.

Computed properties:
magnetization = 0.68 μB per atom

a b c (Å): 2.671 3.868 12.223
angles (deg): 90.00 90.00 90.00
Space group Imm2 (No. 44)
Inequivalent atoms, fractional coordinates:
K 0.000 0.000 0.000 (multiplicity 2)
Fe 0.000 0.000 0.278 (multiplicity 2)
Os 0.000 0.000 0.720 (multiplicity 2)

=====

*y*
A relaxed KFeOs crystal, computed with GGA-PBE.

Computed properties:
magnetization = 1.76 μB per atom

a b c (Å): 6.612 6.612 6.612
angles (deg): 90.00 90.00 90.00
Space group F-43m (No. 216)
Inequivalent atoms, fractional coordinates:
K 0.000 0.000 0.000 (multiplicity 4)
Fe 0.250 0.250 0.250 (multiplicity 4)
Os 0.250 0.250 0.750 (multiplicity 4)

=====

Question: which arrangement is favored energetically? Ranking from most to least stable: *x*, *w*, *y*.

=====

*w*
A relaxed K2FeOs2 crystal, computed with GGA-PBE.

Computed properties:
magnetization = 1.38 μB per atom

a b c (Å): 3.760 3.760 15.329
angles (deg): 90.00 90.00 90.00
Space group I4/mmm (No. 139)
Inequivalent atoms, fractional coordinates:
K 0.000 0.500 0.250 (multiplicity 4)
Fe 0.000 0.000 0.000 (multiplicity 2)
Os 0.000 0.000 0.425 (multiplicity 4)

=====

*x*
A relaxed K2FeOs2 crystal, computed with GGA-PBE.

Computed properties:
magnetization = 0.37 μB per atom

a b c (Å): 9.684 9.684 2.498
angles (deg): 90.00 90.00 90.00
Space group P4/mbm (No. 127)
Inequivalent atoms, fractional coordinates:
K 0.113 0.387 0.000 (multiplicity 4)
Fe 0.000 0.000 0.000 (multiplicity 2)
Os 0.187 0.687 0.500 (multiplicity 4)

=====

Question: which arrangement is favored energetically? Ranking from most to least stable: *w*, *x*.

=====

*w*
A relaxed K2FeOs2 crystal, computed with GGA-PBE.

Computed properties:
magnetization = 0.28 μB per atom

a b c (Å): 6.123 6.123 5.838
angles (deg): 90.00 90.00 90.00
Space group P4/mbm (No. 127)
Inequivalent atoms, fractional coordinates:
K 0.180 0.320 0.000 (multiplicity 4)
Fe 0.000 0.000 0.500 (multiplicity 2)
Os 0.137 0.637 0.500 (multiplicity 4)

=====

*x*
A relaxed K2FeOs2 crystal, computed with GGA-PBE.

Computed properties:
magnetization = 0.60 μB per atom

a b c (Å): 3.497 3.497 22.374
angles (deg): 90.00 90.00 90.00
Space group I4/mmm (No. 139)
Inequivalent atoms, fractional coordinates:
K 0.000 0.000 0.117 (multiplicity 4)
Fe 0.000 0.000 0.500 (multiplicity 2)
Os 0.000 0.500 0.250 (multiplicity 4)

=====

Question: which arrangement is favored energetically? Ranking from most to least stable: *w*, *x*.

=====

*w*
A relaxed K2FeP2S6 crystal, computed with GGA-PBE.

Computed properties:
magnetization = 0.36 μB per atom

a b c (Å): 6.7142 6.7142 19.4536
angles (deg): 90.00 90.00 120.00
Space group R-3m (No. 166, hexagonal axes)
Inequivalent atoms, fractional coordinates:
K 0.0000 0.0000 0.2352 (multiplicity 6)
Fe 0.0000 0.0000 0.0000 (multiplicity 3)
P 0.0000 0.0000 0.4390 (multiplicity 6)
S 0.0119 0.5059 0.7529 (multiplicity 18)

=====

*x*
A relaxed K2FeP2S6 crystal, computed with GGA-PBE.

Computed properties:
magnetization = 0.36 μB per atom

a b c (Å): 6.046 12.491 8.701
angles (deg): 90.00 120.28 90.00
Space group P2_1/c (No. 14)
Inequivalent atoms, fractional coordinates:
K 0.161 0.190 0.458 (multiplicity 4)
Fe 0.500 0.000 0.000 (multiplicity 2)
P 0.153 0.526 0.635 (multiplicity 4)
S 0.057 0.050 0.744 (multiplicity 4)
S 0.318 0.656 0.592 (multiplicity 4)
S 0.415 0.094 0.226 (multiplicity 4)

=====

Question: which arrangement is favored energetically? Ranking from most to least stable: *x*, *w*.

=====

*w*
A relaxed KFe2PW crystal, computed with GGA-PBE.

Computed properties:
magnetization = 0.46 μB per atom

a b c (Å): 4.544 4.544 5.902
angles (deg): 90.00 90.00 90.00
Space group P4/mmm (No. 123)
Inequivalent atoms, fractional coordinates:
K 0.000 0.000 0.000 (multiplicity 1)
Fe 0.000 0.500 0.500 (multiplicity 2)
P 0.500 0.500 0.000 (multiplicity 1)
W 0.000 0.000 0.500 (multiplicity 1)

=====

*x*
A relaxed KFe2PW crystal, computed with GGA-PBE.

Computed properties:
magnetization = 0.22 μB per atom

a b c (Å): 4.015 4.015 5.045
angles (deg): 90.00 90.00 90.00
Space group P4/mmm (No. 123)
Inequivalent atoms, fractional coordinates:
K 0.000 0.000 0.000 (multiplicity 1)
Fe 0.000 0.500 0.000 (multiplicity 2)
P 0.000 0.000 0.500 (multiplicity 1)
W 0.500 0.500 0.500 (multiplicity 1)

=====

Question: which arrangement is favored energetically? Ranking from most to least stable: *w*, *x*.

=====

*w*
A relaxed KFe2Pb crystal, computed with GGA-PBE.

Computed properties:
magnetization = 1.51 μB per atom

a b c (Å): 4.668 4.668 4.065
angles (deg): 90.00 90.00 90.00
Space group P4/mmm (No. 123)
Inequivalent atoms, fractional coordinates:
K 0.000 0.000 0.000 (multiplicity 1)
Fe 0.000 0.500 0.500 (multiplicity 2)
Pb 0.500 0.500 0.000 (multiplicity 1)

=====

*x*
A relaxed KFe2Pb crystal, computed with GGA-PBE.

Computed properties:
magnetization = 1.43 μB per atom

a b c (Å): 3.1611 3.1611 31.3866
angles (deg): 90.00 90.00 120.00
Space group R-3m (No. 166, hexagonal axes)
Inequivalent atoms, fractional coordinates:
K 0.0000 0.0000 0.0000 (multiplicity 3)
Fe 0.0000 0.0000 0.2398 (multiplicity 6)
Pb 0.0000 0.0000 0.5000 (multiplicity 3)

=====

*y*
A relaxed KFe2Pb crystal, computed with GGA-PBE.

Computed properties:
magnetization = 1.42 μB per atom

a b c (Å): 6.475 8.926 3.080
angles (deg): 90.00 90.00 90.00
Space group Cmmm (No. 65)
Inequivalent atoms, fractional coordinates:
K 0.000 0.000 0.000 (multiplicity 2)
Fe 0.250 0.250 0.500 (multiplicity 4)
Pb 0.000 0.500 0.000 (multiplicity 2)

=====

Question: which arrangement is favored energetically? Ranking from most to least stable: *x*, *w*, *y*.

=====

*w*
A relaxed KFe2Pd crystal, computed with GGA-PBE.

Computed properties:
magnetization = 1.63 μB per atom

a b c (Å): 4.839 4.839 17.526
angles (deg): 90.00 90.00 90.00
Space group I-42d (No. 122)
Inequivalent atoms, fractional coordinates:
K 0.000 0.000 0.000 (multiplicity 4)
Fe 0.004 0.250 0.625 (multiplicity 8)
Pd 0.000 0.000 0.500 (multiplicity 4)

=====

*x*
A relaxed KFe2Pd crystal, computed with GGA-PBE.

Computed properties:
magnetization = 1.55 μB per atom

a b c (Å): 6.553 6.553 6.553
angles (deg): 90.00 90.00 90.00
Space group Fm-3m (No. 225)
Inequivalent atoms, fractional coordinates:
K 0.000 0.000 0.000 (multiplicity 4)
Fe 0.250 0.250 0.250 (multiplicity 8)
Pd 0.000 0.000 0.500 (multiplicity 4)

=====

Question: which arrangement is favored energetically? Ranking from most to least stable: *w*, *x*.

=====

*w*
A relaxed KFePd3 crystal, computed with GGA-PBE.

Computed properties:
magnetization = 0.83 μB per atom

a b c (Å): 4.781 4.781 4.781
angles (deg): 90.00 90.00 90.00
Space group Pm-3m (No. 221)
Inequivalent atoms, fractional coordinates:
K 0.000 0.000 0.000 (multiplicity 1)
Fe 0.500 0.500 0.500 (multiplicity 1)
Pd 0.000 0.500 0.500 (multiplicity 3)

=====

*x*
A relaxed KFePd3 crystal, computed with GGA-PBE.

Computed properties:
magnetization = 0.73 μB per atom

a b c (Å): 4.911 4.911 4.911
angles (deg): 90.00 90.00 90.00
Space group Pm-3m (No. 221)
Inequivalent atoms, fractional coordinates:
K 0.000 0.000 0.000 (multiplicity 1)
Fe 0.500 0.500 0.500 (multiplicity 1)
Pd 0.000 0.000 0.500 (multiplicity 3)

=====

Question: which arrangement is favored energetically? Ranking from most to least stable: *w*, *x*.

=====

*w*
A relaxed KRb3Fe crystal, computed with GGA-PBE.

Computed properties:
magnetization = 0.66 μB per atom

a b c (Å): 7.811 7.811 7.811
angles (deg): 90.00 90.00 90.00
Space group Pm-3m (No. 221)
Inequivalent atoms, fractional coordinates:
K 0.000 0.000 0.000 (multiplicity 1)
Rb 0.000 0.000 0.500 (multiplicity 3)
Fe 0.500 0.500 0.500 (multiplicity 1)

=====

*x*
A relaxed KRb3Fe crystal, computed with GGA-PBE.

Computed properties:
magnetization = 0.51 μB per atom

a b c (Å): 7.068 7.068 7.068
angles (deg): 90.00 90.00 90.00
Space group Pm-3m (No. 221)
Inequivalent atoms, fractional coordinates:
K 0.000 0.000 0.000 (multiplicity 1)
Rb 0.000 0.500 0.500 (multiplicity 3)
Fe 0.500 0.500 0.500 (multiplicity 1)

=====

Question: which arrangement is favored energetically? Ranking from most to least stable: *x*, *w*.

=====

*w*
A relaxed KRbFe3 crystal, computed with GGA-PBE.

Computed properties:
magnetization = 2.00 μB per atom

a b c (Å): 5.710 5.710 5.710
angles (deg): 90.00 90.00 90.00
Space group Pm-3m (No. 221)
Inequivalent atoms, fractional coordinates:
K 0.000 0.000 0.000 (multiplicity 1)
Rb 0.500 0.500 0.500 (multiplicity 1)
Fe 0.000 0.000 0.500 (multiplicity 3)

=====

*x*
A relaxed KRbFe3 crystal, computed with GGA-PBE.

Computed properties:
magnetization = 2.00 μB per atom

a b c (Å): 5.862 5.862 5.862
angles (deg): 90.00 90.00 90.00
Space group Pm-3m (No. 221)
Inequivalent atoms, fractional coordinates:
K 0.000 0.000 0.000 (multiplicity 1)
Rb 0.500 0.500 0.500 (multiplicity 1)
Fe 0.000 0.500 0.500 (multiplicity 3)

=====

Question: which arrangement is favored energetically? Ranking from most to least stable: *w*, *x*.

=====

*w*
A relaxed K2FeRe crystal, computed with GGA-PBE.

Computed properties:
magnetization = 0.33 μB per atom

a b c (Å): 3.459 5.949 11.478
angles (deg): 90.00 90.00 90.00
Space group Imm2 (No. 44)
Inequivalent atoms, fractional coordinates:
K 0.000 0.000 0.000 (multiplicity 2)
K 0.000 0.500 0.211 (multiplicity 2)
Fe 0.000 0.500 0.786 (multiplicity 2)
Re 0.000 0.000 0.403 (multiplicity 2)

=====

*x*
A relaxed K2FeRe crystal, computed with GGA-PBE.

Computed properties:
magnetization = 0.50 μB per atom

a b c (Å): 5.463 11.551 2.676
angles (deg): 90.00 90.00 90.00
Space group Cmmm (No. 65)
Inequivalent atoms, fractional coordinates:
K 0.250 0.250 0.000 (multiplicity 4)
Fe 0.000 0.000 0.500 (multiplicity 2)
Re 0.000 0.500 0.500 (multiplicity 2)

=====

Question: which arrangement is favored energetically? Ranking from most to least stable: *w*, *x*.